Here is crystalline BaSrPd3 at its relaxed geometry from Alexandria. Energies are from PBE-GGA. Values from VASP.

Values from the calculation:
Energy relative to the lowest polymorph listed for this composition, meV/atom: 211
Total DFT energy (no corrections), eV per atom: -3.45
Magnetic moment, μB/cell: 0.0
Space group: No. 221
V, Å³ per atom: 33.34

Geometry as Quantum ESPRESSO input:
```
&SYSTEM
  ibrav = 0, nat = 5, ntyp = 3
/
ATOMIC_SPECIES
Ba 137.33 Ba.upf
Sr 87.62 Sr.upf
Pd 106.42 Pd.upf
CELL_PARAMETERS angstrom
5.504 0.000 0.000
0.000 5.504 0.000
0.000 0.000 5.504
ATOMIC_POSITIONS crystal
Ba 0.000 0.000 0.000
Sr 0.500 0.500 0.500
Pd 0.000 0.000 0.500
Pd 0.000 0.500 0.000
Pd 0.500 0.000 0.000
```